# Pr2SbHRh6

A relaxed structure of Pr2SbHRh6 (PBE, Alexandria via LeMat-Bulk).

Results
Size of the total moment = 0.01 Bohr magnetons per cell
E = -6.57 eV/atom
Mass density = 9.5 g cm⁻³

Cell lengths 8.9217, 8.9233, 6.3095 Å; angles 90.00, 134.94, 90.00 degrees
With the nearest neighbours (Å) after each atom.
Space group C2/m (No. 12)
Unique sites:
Pr  0.0000  0.2502  0.0000  12 Rh 3.17
Sb  0.0000  0.0000  0.5000  6 Rh 2.51
H  0.0000  0.5000  0.5000  6 Rh 1.95
Rh  0.0000  0.2816  0.5000  1 H 1.95
Rh  0.2186  0.5000  0.5004  1 H 1.95
Rh  0.2187  0.5000  0.9372  1 H 1.95


# Pr2SnHRh6

A relaxed structure of Pr2SnHRh6 (PBE, Alexandria via LeMat-Bulk).

Results
Size of the total moment = 0.00 Bohr magnetons per cell
E = -6.49 eV/atom
Mass density = 9.4 g cm⁻³

Cell lengths 8.9377, 8.9470, 6.1725 Å; angles 90.00, 133.47, 90.00 degrees
With the nearest neighbours (Å) after each atom.
Space group C2/m (No. 12)
Unique sites:
Pr  0.0000  0.2440  0.0000  12 Rh 3.11-3.25
Sn  0.0000  0.0000  0.5000  6 Rh 2.54
H  0.0000  0.5000  0.5000  6 Rh 1.93-1.94
Rh  0.0000  0.2840  0.5000  1 H 1.93
Rh  0.2090  0.5000  0.4857  1 H 1.93
Rh  0.2100  0.5000  0.9336  1 H 1.94


# PrSnH8Rh2

A relaxed structure of PrSnH8Rh2 (PBE, Alexandria via LeMat-Bulk).

Results
Size of the total moment = 0.00 Bohr magnetons per cell
E = -4.26 eV/atom
Mass density = 6.4 g cm⁻³

Cell lengths 4.9667, 4.9667, 17.3556 Å; angles 90.00, 90.00, 120.00 degrees
With the nearest neighbours (Å) after each atom.
Space group R-3 (No. 148, hexagonal axes)
Unique sites:
Pr  0.0000  0.0000  0.0000  6 H 2.30
Sn  0.0000  0.0000  0.5000  12 H 2.64-2.69
H  0.0000  0.0000  0.3117  1 Rh 1.65
H  0.0546  0.5322  0.5536  1 Rh 1.67
Rh  0.0000  0.0000  0.2168  4 H 1.65-1.67